First-principles (PBE-GGA) data for an optimized crystal structure of TlCuMoIr, as listed in OQMD.

Relative energy among the computed polymorphs = 0.00 eV per formula unit

Cell: 6.3842 6.3842 6.3842 Å, 90.00 90.00 90.00°
With the nearest neighbours (Å) after each atom.
Space group F-43m (No. 216)
Asymmetric unit:
Tl1 0.0000 0.0000 0.0000 (multiplicity 4)  4 Cu 2.76, 4 Ir 2.76
Cu1 0.2500 0.2500 0.2500 (multiplicity 4)  4 Tl 2.76, 4 Mo 2.76
Mo1 0.0000 0.0000 0.5000 (multiplicity 4)  4 Cu 2.76, 4 Ir 2.76
Ir1 0.2500 0.2500 0.7500 (multiplicity 4)  4 Tl 2.76, 4 Mo 2.76